[1]
Material: Bi2BTePd
Method: DFT, SCAN
State: PBEsol geometry

Lattice parameters (Å, degrees): 5.206 5.281 5.281 90.00 90.00 90.00
Fractional positions:
Bi 0.000 0.000 0.500
Bi 0.000 0.500 0.000
B 0.500 0.500 0.500
Te 0.500 0.000 0.000
Pd 0.000 0.000 0.000

Output
Symmetry: P4/mmm (123)
Density (g cm⁻³): 7.58
Total energy (Ry/atom): -3.3580
Formation energy from raw total energies (eV/atom): 1.235



[2]
Material: ReBi3B
Method: DFT, SCAN
State: PBEsol geometry

Lattice parameters (Å, degrees): 4.843 4.843 4.843 90.00 90.00 90.00
Last column: magnetic moment on the atom in μB.
Fractional positions:
Bi 0.000 0.500 0.000  -0.03
Bi 0.000 0.000 0.500  -0.03
Bi 0.500 0.000 0.000  -0.03
B 0.000 0.000 0.000  0.00
Re 0.500 0.500 0.500  1.99

Output
Calculated formation energy (eV per atom): 1.707
Symmetry: Pm-3m (221)
Density (g cm⁻³): 12.05
Total energy (Ry/atom): -4.4942



[3]
Material: BiBRh3
Method: DFT, SCAN
State: PBEsol geometry

Lattice parameters (Å, degrees): 4.172 4.172 4.172 90.00 90.00 90.00
Fractional positions:
Rh 0.000 0.000 0.500
Rh 0.000 0.500 0.000
Rh 0.500 0.000 0.000
Bi 0.500 0.500 0.500
B 0.000 0.000 0.000

Output
Calculated formation energy (eV per atom): -0.052
Symmetry: Pm-3m (221)
Density (g cm⁻³): 12.08
Total energy (Ry/atom): -2.7574



[4]
Material: BiBSbTe2
Method: DFT, SCAN
State: PBEsol geometry

Lattice parameters (Å, degrees): 5.039 5.039 4.652 90.00 90.00 90.00
Fractional positions:
Bi 0.500 0.500 0.500
Sb 0.000 0.000 0.500
Te 0.000 0.500 0.000
Te 0.500 0.000 0.000
B 0.000 0.000 0.000

Output
Symmetry: P4/mmm (123)
Density (g cm⁻³): 8.39
Total energy (Ry/atom): -2.8569
Formation energy from raw total energies (eV/atom): 0.684



[5]
Material: Ti2SiBiB
Method: DFT, SCAN
State: PBEsol geometry

Lattice parameters (Å, degrees): 3.721 4.839 4.839 90.00 90.00 90.00
Fractional positions:
Ti 0.000 0.500 0.000
Ti 0.000 0.000 0.500
B 0.500 0.000 0.000
Si 0.000 0.000 0.000
Bi 0.500 0.500 0.500

Output
Symmetry: P4/mmm (123)
Density (g cm⁻³): 6.55
Total energy (Ry/atom): -1.8500
Formation energy from raw total energies (eV/atom): 0.447



[6]
Material: Sn3BiB
Method: DFT, SCAN
State: PBEsol geometry

Lattice parameters (Å, degrees): 4.899 4.899 4.899 90.00 90.00 90.00
Fractional positions:
Sn 0.000 0.000 0.500
Sn 0.000 0.500 0.000
Sn 0.500 0.000 0.000
B 0.000 0.000 0.000
Bi 0.500 0.500 0.500

Output
Calculated formation energy (eV per atom): 0.607
Symmetry: Pm-3m (221)
Density (g cm⁻³): 8.13
Total energy (Ry/atom): -2.8038



[7]
Material: TaBi2B
Method: DFT, SCAN
State: PBEsol geometry

Lattice parameters (Å, degrees): 7.466 6.048 7.466 51.89 90.00 128.11
Fractional positions:
B 0.500 0.000 0.500
B 0.250 0.500 0.250
Ta 0.000 0.000 0.000
Ta 0.750 0.500 0.750
Bi 0.565 0.750 0.375
Bi 0.875 0.250 0.565
Bi 0.375 0.250 0.185
Bi 0.185 0.750 0.875

Output
Calculated formation energy (eV per atom): 1.418
Symmetry: I-42d (122)
Density (g cm⁻³): 12.31
Total energy (Ry/atom): -4.1435



[8]
Material: Y3BiB
Method: DFT, SCAN
State: PBEsol geometry

Lattice parameters (Å, degrees): 4.981 4.981 4.981 90.00 90.00 90.00
Fractional positions:
B 0.000 0.000 0.000
Bi 0.500 0.500 0.500
Y 0.000 0.500 0.000
Y 0.000 0.000 0.500
Y 0.500 0.000 0.000

Output
Calculated formation energy (eV per atom): -0.600
Symmetry: Pm-3m (221)
Density (g cm⁻³): 6.54
Total energy (Ry/atom): -2.5363



[9]
Material: BBr3
Method: DFT, SCAN
State: PBEsol geometry

Lattice parameters (Å, degrees): 6.517 6.517 6.999 90.00 90.00 120.00
Fractional positions:
B 0.333 0.667 0.250
B 0.667 0.333 0.750
Br 0.690 0.636 0.750
Br 0.946 0.310 0.750
Br 0.054 0.690 0.250
Br 0.364 0.054 0.750
Br 0.636 0.946 0.250
Br 0.310 0.364 0.250

Output
Symmetry: P6_3/m (176)
Density (g cm⁻³): 3.23
Total energy (Ry/atom): -1.2489
Formation energy from raw total energies (eV/atom): -0.540



[10]
Material: BC3Br
Method: DFT, SCAN
State: PBEsol geometry

Lattice parameters (Å, degrees): 3.885 3.885 3.885 90.00 90.00 90.00
Fractional positions:
C 0.000 0.000 0.500
C 0.000 0.500 0.000
C 0.500 0.000 0.000
B 0.500 0.500 0.500
Br 0.000 0.000 0.000

Output
Symmetry: Pm-3m (221)
Density (g cm⁻³): 3.59
Total energy (Ry/atom): -0.5059
Formation energy from raw total energies (eV/atom): 4.554



[11]
Material: Ca3BCBr2N
Method: DFT, SCAN
State: PBEsol geometry

Lattice parameters (Å, degrees): 3.858 11.283 14.377 90.00 90.00 90.00
Fractional positions:
C 0.250 0.783 0.205
C 0.750 0.217 0.795
C 0.250 0.717 0.705
C 0.750 0.283 0.295
Br 0.250 0.605 0.441
Br 0.750 0.395 0.559
Br 0.250 0.138 0.512
Br 0.750 0.105 0.059
Br 0.250 0.895 0.941
Br 0.250 0.362 0.012
Br 0.750 0.638 0.988
Br 0.750 0.862 0.488
B 0.750 0.403 0.258
B 0.250 0.597 0.742
B 0.750 0.097 0.758
B 0.250 0.903 0.242
N 0.750 0.982 0.729
N 0.250 0.482 0.771
N 0.750 0.518 0.229
N 0.250 0.018 0.271
Ca 0.750 0.645 0.604
Ca 0.250 0.930 0.643
Ca 0.750 0.855 0.104
Ca 0.750 0.070 0.357
Ca 0.250 0.355 0.396
Ca 0.750 0.430 0.857
Ca 0.250 0.570 0.143
Ca 0.250 0.145 0.896
Ca 0.250 0.204 0.193
Ca 0.750 0.796 0.807
Ca 0.250 0.296 0.693
Ca 0.750 0.704 0.307

Output
Symmetry: Pnma (62)
Density (g cm⁻³): 3.36
Total energy (Ry/atom): -0.9731
Formation energy from raw total energies (eV/atom): -1.399



[12]
Material: La3BC2Br2
Method: DFT, SCAN
State: PBEsol geometry

Lattice parameters (Å, degrees): 3.918 11.361 15.275 90.00 90.00 90.00
Fractional positions:
La 0.750 0.201 0.168
La 0.750 0.124 0.866
La 0.750 0.950 0.660
La 0.750 0.550 0.160
La 0.750 0.376 0.366
La 0.250 0.876 0.134
La 0.750 0.299 0.668
La 0.250 0.701 0.332
La 0.250 0.450 0.840
La 0.250 0.050 0.340
La 0.250 0.799 0.832
La 0.250 0.624 0.634
C 0.250 0.250 0.777
C 0.750 0.001 0.230
C 0.750 0.750 0.223
C 0.250 0.250 0.277
C 0.250 0.999 0.770
C 0.750 0.499 0.730
C 0.750 0.750 0.723
C 0.250 0.501 0.270
B 0.250 0.375 0.246
B 0.750 0.875 0.254
B 0.250 0.125 0.746
B 0.750 0.625 0.754
Br 0.750 0.886 0.971
Br 0.250 0.636 0.013
Br 0.250 0.386 0.529
Br 0.750 0.614 0.471
Br 0.750 0.364 0.987
Br 0.250 0.114 0.029
Br 0.750 0.136 0.487
Br 0.250 0.864 0.513

Output
Symmetry: Pnma (62)
Density (g cm⁻³): 5.97
Total energy (Ry/atom): -1.8865
Formation energy from raw total energies (eV/atom): -1.184



[13]
Material: B2OsCBr
Method: DFT, SCAN
State: PBEsol geometry

Lattice parameters (Å, degrees): 3.283 3.283 5.972 90.00 90.00 90.00
Fractional positions:
B 0.500 0.000 0.000
B 0.000 0.500 0.000
Br 0.000 0.000 0.500
C 0.000 0.000 0.000
Os 0.500 0.500 0.500

Output
Symmetry: P4/mmm (123)
Density (g cm⁻³): 7.84
Total energy (Ry/atom): -1.5489
Formation energy from raw total energies (eV/atom): 2.186



[14]
Material: TiBCBr2
Method: DFT, SCAN
State: PBEsol geometry

Lattice parameters (Å, degrees): 3.000 5.074 5.074 90.00 90.00 90.00
Last column: magnetic moment on the atom in μB.
Fractional positions:
Ti 0.500 0.500 0.500  1.89
C 0.500 0.000 0.000  -0.43
Br 0.000 0.500 0.000  -0.11
Br 0.000 0.000 0.500  -0.11
B 0.000 0.000 0.000  0.05

Output
Symmetry: P4/mmm (123)
Density (g cm⁻³): 4.95
Total energy (Ry/atom): -1.0220
Formation energy from raw total energies (eV/atom): 0.590



[15]
Material: CaBIr2Br
Method: DFT, SCAN
State: PBEsol geometry

Lattice parameters (Å, degrees): 4.582 4.582 5.172 90.00 90.00 90.00
Last column: magnetic moment on the atom in μB.
Fractional positions:
Ca 0.000 0.000 0.500  0.00
Br 0.000 0.000 0.000  0.03
B 0.500 0.500 0.500  0.01
Ir 0.000 0.500 0.000  0.41
Ir 0.500 0.000 0.000  0.41

Output
Symmetry: P4/mmm (123)
Density (g cm⁻³): 7.88
Total energy (Ry/atom): -2.4917
Formation energy from raw total energies (eV/atom): 1.849



[16]
Material: Ca2B5BrO9
Method: DFT, SCAN
State: PBEsol geometry

Lattice parameters (Å, degrees): 6.266 11.269 11.419 90.00 90.00 90.00
Fractional positions:
O 0.157 0.784 0.607
O 0.997 0.401 0.715
O 0.570 0.263 0.086
O 0.876 0.198 0.246
O 0.229 0.748 0.813
O 0.376 0.698 0.254
O 0.657 0.284 0.893
O 0.398 0.903 0.224
O 0.300 0.222 0.939
O 0.046 0.198 0.789
O 0.229 0.252 0.187
O 0.070 0.763 0.414
O 0.546 0.698 0.711
O 0.070 0.237 0.586
O 0.633 0.447 0.757
O 0.157 0.216 0.393
O 0.046 0.802 0.211
O 0.497 0.901 0.785
O 0.657 0.716 0.107
O 0.633 0.553 0.243
O 0.800 0.722 0.561
O 0.300 0.778 0.061
O 0.376 0.302 0.746
O 0.398 0.097 0.776
O 0.800 0.278 0.439
O 0.729 0.752 0.313
O 0.729 0.248 0.687
O 0.876 0.802 0.754
O 0.133 0.053 0.257
O 0.497 0.099 0.215
O 0.546 0.302 0.289
O 0.898 0.403 0.276
O 0.570 0.737 0.914
O 0.997 0.599 0.285
O 0.898 0.597 0.724
O 0.133 0.947 0.743
Ca 0.790 0.034 0.753
Ca 0.459 0.246 0.533
Ca 0.459 0.754 0.467
Ca 0.290 0.466 0.253
Ca 0.959 0.746 0.967
Ca 0.959 0.254 0.033
Ca 0.790 0.966 0.247
Ca 0.290 0.534 0.747
B 0.960 0.728 0.305
B 0.600 0.317 0.772
B 0.460 0.228 0.195
B 0.460 0.772 0.805
B 0.500 0.255 0.973
B 0.600 0.683 0.228
B 0.836 0.482 0.730
B 0.273 0.205 0.809
B 0.773 0.705 0.691
B 0.100 0.817 0.728
B 0.500 0.745 0.027
B 0.100 0.183 0.272
B 0.000 0.245 0.473
B 0.336 0.018 0.230
B 0.273 0.795 0.191
B 0.773 0.295 0.309
B 0.960 0.272 0.695
B 0.336 0.982 0.770
B 0.000 0.755 0.527
B 0.836 0.518 0.270
Br 0.861 0.000 0.000
Br 0.628 0.000 0.500
Br 0.361 0.500 0.500
Br 0.128 0.500 0.000

Output
Symmetry: Pnn2 (34)
Density (g cm⁻³): 2.95
Total energy (Ry/atom): -0.7792
Formation energy from raw total energies (eV/atom): -2.837



[17]
Material: CdBBr2
Method: DFT, SCAN
State: PBEsol geometry

Lattice parameters (Å, degrees): 4.904 4.904 4.904 60.00 60.00 60.00
Fractional positions:
Br 0.250 0.250 0.250
Br 0.750 0.750 0.750
B 0.000 0.000 0.000
Cd 0.500 0.500 0.500

Output
Symmetry: Fm-3m (225)
Density (g cm⁻³): 5.63
Total energy (Ry/atom): -1.3505
Formation energy from raw total energies (eV/atom): 0.816



[18]
Material: La2CdBBr
Method: DFT, SCAN
State: PBEsol geometry

Lattice parameters (Å, degrees): 5.176 5.853 5.853 90.00 90.00 90.00
Last column: magnetic moment on the atom in μB.
Fractional positions:
La 0.000 0.500 0.000  0.29
La 0.000 0.000 0.500  0.29
B 0.500 0.500 0.500  0.52
Cd 0.000 0.000 0.000  0.05
Br 0.500 0.000 0.000  0.05

Output
Symmetry: P4/mmm (123)
Density (g cm⁻³): 4.50
Total energy (Ry/atom): -2.0382
Formation energy from raw total energies (eV/atom): 0.972



[19]
Material: BPBr2NCl3
Method: DFT, SCAN
State: PBEsol geometry

Lattice parameters (Å, degrees): 9.000 9.000 10.290 90.00 90.00 93.93
Fractional positions:
B 0.583 0.417 0.000
B 0.083 0.917 0.500
B 0.917 0.083 0.500
B 0.417 0.583 0.000
Cl 0.343 0.343 0.325
Cl 0.185 0.941 0.165
Cl 0.157 0.157 0.825
Cl 0.441 0.685 0.335
Cl 0.843 0.843 0.175
Cl 0.059 0.815 0.835
Cl 0.315 0.559 0.665
Cl 0.685 0.441 0.335
Cl 0.559 0.315 0.665
Cl 0.815 0.059 0.835
Cl 0.941 0.185 0.165
Cl 0.657 0.657 0.675
Br 0.038 0.695 0.483
Br 0.805 0.462 0.983
Br 0.462 0.805 0.983
Br 0.962 0.305 0.517
Br 0.695 0.038 0.483
Br 0.195 0.538 0.017
Br 0.305 0.962 0.517
Br 0.538 0.195 0.017
P 0.005 0.005 0.757
P 0.505 0.505 0.743
P 0.495 0.495 0.257
P 0.995 0.995 0.243
N 0.991 0.991 0.606
N 0.509 0.509 0.106
N 0.491 0.491 0.894
N 0.009 0.009 0.394

Output
Symmetry: Cmce (64)
Density (g cm⁻³): 2.57
Total energy (Ry/atom): -0.8810
Formation energy from raw total energies (eV/atom): -0.740



[20]
Material: CsBSeBr2
Method: DFT, SCAN
State: PBEsol geometry

Lattice parameters (Å, degrees): 4.122 5.562 5.562 90.00 90.00 90.00
Fractional positions:
Br 0.000 0.000 0.500
Br 0.000 0.500 0.000
Se 0.500 0.000 0.000
Cs 0.500 0.500 0.500
B 0.000 0.000 0.000

Output
Symmetry: P4/mmm (123)
Density (g cm⁻³): 4.98
Total energy (Ry/atom): -1.5470
Formation energy from raw total energies (eV/atom): -0.200